Record 1
An optimized crystal structure of SrFe2Cu. Source: Alexandria, functional PBE.

Cell and atoms, written as POSCAR:
```
SrFe2Cu
1.0
-1.762 -3.969 1.667
-4.354 -0.107 1.632
-3.316 -2.246 -2.365
Sr Fe Cu
1 2 1
Direct
0.500 0.500 0.500 Sr
0.250 0.250 0.250 Fe
0.750 0.750 0.750 Fe
0.000 0.000 0.000 Cu
```

Computed properties:
Its crystal system is cubic. The calculation puts the total energy at -19.2 eV/f.u. As for the space group: Fm-3m (225). The density of states at the Fermi level comes out at 1.517 states/eV per atom.

***

Record 2
An optimized crystal structure of SrFe2Cu. Source: Alexandria, functional PBE.

Cell and atoms, written as POSCAR:
```
SrFe2Cu
1.0
-4.805 -0.011 -2.228
3.844 -2.806 -2.323
-0.700 -2.218 1.521
Cu Fe Sr
1 2 1
Direct
0.000 0.500 0.500 Cu
0.000 0.000 0.000 Fe
0.500 0.500 0.000 Fe
0.500 0.000 0.500 Sr
```

Computed properties:
Its crystal system is orthorhombic. The calculation puts the total energy at -19.1 eV/f.u. As for the space group: Cmmm (65). The density of states at the Fermi level comes out at 1.134 states/eV per atom.

***

Record 3
An optimized crystal structure of SrFe2Cu. Source: Alexandria, functional PBE.

Cell and atoms, written as POSCAR:
```
SrFe2Cu
1.0
5.520 -0.009 0.005
2.310 5.013 -0.005
-3.174 -3.661 2.643
Cu Fe Sr
1 2 1
Direct
0.209 0.709 0.500 Cu
0.990 0.990 0.000 Fe
0.799 0.299 0.500 Fe
0.502 0.502 0.000 Sr
```

Computed properties:
Its crystal system is orthorhombic. The calculation puts the total energy at -20.1 eV/f.u. As for the space group: Imm2 (44). The density of states at the Fermi level comes out at 0.635 states/eV per atom.